# 1
## Ca3ZnGe2Pd9 (GGA-PBE)

Data for a relaxed structure of Ca3ZnGe2Pd9.

Geometry as CIF:
```
data_Ca3ZnGe2Pd9
_chemical_formula_sum 'Ca3 Zn1 Ge2 Pd9'
_cell_length_a 7.385
_cell_length_b 7.385
_cell_length_c 6.584
_cell_angle_alpha 90.00
_cell_angle_beta 90.00
_cell_angle_gamma 120.00
_symmetry_space_group_name_H-M 'P 1'
_symmetry_Int_Tables_number 1
_symmetry_space_group_name_Hall 'P 1'
loop_
_atom_site_label
_atom_site_type_symbol
_atom_site_fract_x
_atom_site_fract_y
_atom_site_fract_z
Pd1 Pd 0.830 0.170 0.663
Pd2 Pd 0.830 0.660 0.663
Pd3 Pd 0.340 0.170 0.663
Pd4 Pd 0.170 0.340 0.337
Pd5 Pd 0.660 0.830 0.337
Pd6 Pd 0.500 0.500 0.000
Pd7 Pd 0.000 0.500 0.000
Pd8 Pd 0.500 0.000 0.000
Pd9 Pd 0.170 0.830 0.337
Ca1 Ca 0.667 0.333 0.333
Ca2 Ca 0.333 0.667 0.667
Ca3 Ca 0.000 0.000 0.000
Zn1 Zn 0.000 0.000 0.500
Ge1 Ge 0.333 0.667 0.165
Ge2 Ge 0.667 0.333 0.835
```

## Properties
Electronic total energy in eV/atom: -4.612
Total magnetic moment in μB per cell: 0.000
E_form in meV per atom: -395.2
N(E_F) in states/eV/atom: 0.392

---

# 2
## Pu2SbAs3Rh4 (GGA-PBE)

Data for a relaxed structure of Pu2SbAs3Rh4.

Geometry as CIF:
```
data_Pu2SbAs3Rh4
_chemical_formula_sum 'Pu2 Sb1 As3 Rh4'
_cell_length_a 4.185
_cell_length_b 4.185
_cell_length_c 10.809
_cell_angle_alpha 90.00
_cell_angle_beta 90.00
_cell_angle_gamma 90.00
_symmetry_space_group_name_H-M 'P 1'
_symmetry_Int_Tables_number 1
_symmetry_space_group_name_Hall 'P 1'
loop_
_atom_site_label
_atom_site_type_symbol
_atom_site_fract_x
_atom_site_fract_y
_atom_site_fract_z
Rh1 Rh 0.000 0.500 0.355
Rh2 Rh 0.500 0.500 0.000
Rh3 Rh 0.500 0.000 0.645
Rh4 Rh 0.000 0.000 0.000
As1 As 0.000 0.000 0.500
As2 As 0.000 0.500 0.132
As3 As 0.500 0.000 0.868
Sb1 Sb 0.500 0.500 0.500
Pu1 Pu 0.500 0.000 0.238
Pu2 Pu 0.000 0.500 0.762
```

## Properties
Electronic total energy in eV/atom: -8.250
Total magnetic moment in μB per cell: 10.598
ΔE_f (raw) in eV per atom: -0.64
N(E_F) in states/eV/atom: 2.923

---

# 3
## Sm3Dy3ErSe8 (GGA-PBE)

Data for a relaxed structure of Sm3Dy3ErSe8.

Geometry as CIF:
```
data_Sm3Dy3ErSe8
_chemical_formula_sum 'Sm3 Dy3 Er1 Se8'
_cell_length_a 8.194
_cell_length_b 8.194
_cell_length_c 8.233
_cell_angle_alpha 119.85
_cell_angle_beta 90.00
_cell_angle_gamma 120.00
_symmetry_space_group_name_H-M 'P 1'
_symmetry_Int_Tables_number 1
_symmetry_space_group_name_Hall 'P 1'
loop_
_atom_site_label
_atom_site_type_symbol
_atom_site_fract_x
_atom_site_fract_y
_atom_site_fract_z
Se1 Se 0.745 0.994 0.744
Se2 Se 0.751 0.501 0.256
Se3 Se 0.751 0.006 0.256
Se4 Se 0.253 0.506 0.258
Se5 Se 0.249 0.994 0.744
Se6 Se 0.255 0.006 0.256
Se7 Se 0.249 0.499 0.744
Se8 Se 0.747 0.494 0.742
Er1 Er 0.000 0.000 0.500
Dy1 Dy 0.500 0.500 0.500
Dy2 Dy 0.500 0.000 0.500
Dy3 Dy 0.000 0.500 0.500
Sm1 Sm 0.000 0.000 0.000
Sm2 Sm 0.000 0.500 0.000
Sm3 Sm 0.500 0.500 0.000
```

## Properties
Electronic total energy in eV/atom: -5.874
Total magnetic moment in μB per cell: 0.000
ΔE_f (raw) in eV per atom: -1.85
N(E_F) in states/eV/atom: 0.437

---

# 4
## LiNd2InTe5 (GGA-PBE)

Data for a relaxed structure of LiNd2InTe5.

Geometry as CIF:
```
data_LiNd2InTe5
_chemical_formula_sum 'Li2 Nd4 In2 Te10'
_cell_length_a 4.377
_cell_length_b 9.933
_cell_length_c 13.005
_cell_angle_alpha 90.00
_cell_angle_beta 90.00
_cell_angle_gamma 102.73
_symmetry_space_group_name_H-M 'P 1'
_symmetry_Int_Tables_number 1
_symmetry_space_group_name_Hall 'P 1'
loop_
_atom_site_label
_atom_site_type_symbol
_atom_site_fract_x
_atom_site_fract_y
_atom_site_fract_z
Nd1 Nd 0.874 0.748 0.804
Nd2 Nd 0.123 0.245 0.679
Nd3 Nd 0.877 0.755 0.179
Nd4 Nd 0.126 0.252 0.304
Te1 Te 0.038 0.076 0.085
Te2 Te 0.302 0.603 0.332
Te3 Te 0.962 0.924 0.585
Te4 Te 0.641 0.282 0.494
Te5 Te 0.494 0.987 0.283
Te6 Te 0.704 0.409 0.161
Te7 Te 0.359 0.718 0.994
Te8 Te 0.506 0.013 0.783
Te9 Te 0.698 0.397 0.832
Te10 Te 0.296 0.591 0.661
In1 In 0.414 0.828 0.470
In2 In 0.586 0.172 0.970
Li1 Li 0.782 0.565 0.517
Li2 Li 0.218 0.435 0.017
```

## Properties
Electronic total energy in eV/atom: -4.357
Total magnetic moment in μB per cell: 0.000
ΔE_f (raw) in eV per atom: -1.04

---

# 5
## HfMg6Sn (GGA-PBE)

Data for a relaxed structure of HfMg6Sn.

Geometry as CIF:
```
data_HfMg6Sn
_chemical_formula_sum 'Hf1 Mg6 Sn1'
_cell_length_a 6.428
_cell_length_b 6.428
_cell_length_c 5.117
_cell_angle_alpha 90.00
_cell_angle_beta 90.00
_cell_angle_gamma 122.71
_symmetry_space_group_name_H-M 'P 1'
_symmetry_Int_Tables_number 1
_symmetry_space_group_name_Hall 'P 1'
loop_
_atom_site_label
_atom_site_type_symbol
_atom_site_fract_x
_atom_site_fract_y
_atom_site_fract_z
Mg1 Mg 0.328 0.169 0.500
Mg2 Mg 0.668 0.332 0.000
Mg3 Mg 0.170 0.830 0.000
Mg4 Mg 0.182 0.337 0.000
Mg5 Mg 0.663 0.818 0.000
Mg6 Mg 0.831 0.672 0.500
Hf1 Hf 0.327 0.673 0.500
Sn1 Sn 0.831 0.169 0.500
```

## Properties
Electronic total energy in eV/atom: -2.946
Total magnetic moment in μB per cell: 0.000
E above lowest polymorph in kJ/mol of formula units: 0
E_form in meV per atom: -5.0
N(E_F) in states/eV/atom: 0.593

---

# 6
## SbTeSN2 (GGA-PBE)

Data for a relaxed structure of SbTeSN2.

Geometry as CIF:
```
data_SbTeSN2
_chemical_formula_sum 'Sb1 Te1 S1 N2'
_cell_length_a 4.089
_cell_length_b 4.089
_cell_length_c 5.116
_cell_angle_alpha 90.00
_cell_angle_beta 90.00
_cell_angle_gamma 90.00
_symmetry_space_group_name_H-M 'P 1'
_symmetry_Int_Tables_number 1
_symmetry_space_group_name_Hall 'P 1'
loop_
_atom_site_label
_atom_site_type_symbol
_atom_site_fract_x
_atom_site_fract_y
_atom_site_fract_z
Te1 Te 0.000 0.000 0.000
S1 S 0.000 0.000 0.500
N1 N 0.500 0.000 0.000
N2 N 0.000 0.500 0.000
Sb1 Sb 0.500 0.500 0.500
```

## Properties
Electronic total energy in eV/atom: -4.338
Total magnetic moment in μB per cell: 0.120
E above lowest polymorph in kJ/mol of formula units: 9
ΔE_f (raw) in eV per atom: 1.27
N(E_F) in states/eV/atom: 0.437

---

# 7
## LaPm5Sm2Tm (GGA-PBE)

Data for a relaxed structure of LaPm5Sm2Tm.

Geometry as CIF:
```
data_LaPm5Sm2Tm
_chemical_formula_sum 'La2 Pm10 Sm4 Tm2'
_cell_length_a 8.943
_cell_length_b 8.943
_cell_length_c 10.046
_cell_angle_alpha 116.43
_cell_angle_beta 116.43
_cell_angle_gamma 90.00
_symmetry_space_group_name_H-M 'P 1'
_symmetry_Int_Tables_number 1
_symmetry_space_group_name_Hall 'P 1'
loop_
_atom_site_label
_atom_site_type_symbol
_atom_site_fract_x
_atom_site_fract_y
_atom_site_fract_z
Sm1 Sm 0.384 0.884 0.000
Sm2 Sm 0.616 0.116 0.000
Sm3 Sm 0.884 0.616 0.000
Sm4 Sm 0.116 0.384 0.000
Pm1 Pm 0.156 0.071 0.727
Pm2 Pm 0.500 0.500 0.000
Pm3 Pm 0.000 0.000 0.000
Pm4 Pm 0.071 0.571 0.727
Pm5 Pm 0.929 0.429 0.273
Pm6 Pm 0.844 0.929 0.273
Pm7 Pm 0.429 0.344 0.273
Pm8 Pm 0.656 0.156 0.727
Pm9 Pm 0.344 0.844 0.273
Pm10 Pm 0.571 0.656 0.727
La1 La 0.250 0.250 0.500
La2 La 0.750 0.750 0.500
Tm1 Tm 0.250 0.750 0.500
Tm2 Tm 0.750 0.250 0.500
```

## Properties
Electronic total energy in eV/atom: -4.457
Total magnetic moment in μB per cell: 0.001
E_form in meV per atom: 275.6
N(E_F) in states/eV/atom: 1.442

---

# 8
## Pr8Nd3Dy3 (GGA-PBE)

Data for a relaxed structure of Pr8Nd3Dy3.

Geometry as CIF:
```
data_Pr8Nd3Dy3
_chemical_formula_sum 'Pr8 Nd3 Dy3'
_cell_length_a 5.760
_cell_length_b 9.950
_cell_length_c 9.950
_cell_angle_alpha 102.79
_cell_angle_beta 73.18
_cell_angle_gamma 73.18
_symmetry_space_group_name_H-M 'P 1'
_symmetry_Int_Tables_number 1
_symmetry_space_group_name_Hall 'P 1'
loop_
_atom_site_label
_atom_site_type_symbol
_atom_site_fract_x
_atom_site_fract_y
_atom_site_fract_z
Pr1 Pr 0.657 0.568 0.117
Pr2 Pr 0.343 0.883 0.432
Pr3 Pr 0.837 0.559 0.768
Pr4 Pr 0.657 0.117 0.568
Pr5 Pr 0.837 0.768 0.559
Pr6 Pr 0.163 0.232 0.441
Pr7 Pr 0.343 0.432 0.883
Pr8 Pr 0.163 0.441 0.232
Nd1 Nd 0.193 0.807 0.807
Nd2 Nd 0.807 0.193 0.193
Nd3 Nd 0.500 0.500 0.500
Dy1 Dy 0.000 0.182 0.818
Dy2 Dy 0.000 0.818 0.182
Dy3 Dy 0.500 0.000 0.000
```

## Properties
Electronic total energy in eV/atom: -4.627
Total magnetic moment in μB per cell: 0.000
E_form in meV per atom: 111.5
N(E_F) in states/eV/atom: 1.240

---

# 9
## La6H3N2O (GGA-PBE)

Data for a relaxed structure of La6H3N2O.

Geometry as CIF:
```
data_La6H3N2O
_chemical_formula_sum 'La6 H3 N2 O1'
_cell_length_a 6.415
_cell_length_b 6.415
_cell_length_c 6.502
_cell_angle_alpha 99.45
_cell_angle_beta 99.45
_cell_angle_gamma 120.00
_symmetry_space_group_name_H-M 'P 1'
_symmetry_Int_Tables_number 1
_symmetry_space_group_name_Hall 'P 1'
loop_
_atom_site_label
_atom_site_type_symbol
_atom_site_fract_x
_atom_site_fract_y
_atom_site_fract_z
La1 La 0.740 0.740 0.230
La2 La 0.412 0.075 0.228
La3 La 0.075 0.412 0.228
La4 La 0.925 0.588 0.772
La5 La 0.588 0.925 0.772
La6 La 0.260 0.260 0.770
H1 H 0.829 0.171 0.500
H2 H 0.500 0.500 0.500
H3 H 0.171 0.829 0.500
N1 N 0.665 0.335 0.000
N2 N 0.335 0.665 0.000
O1 O 0.000 0.000 0.000
```

## Properties
Electronic total energy in eV/atom: -6.255
Total magnetic moment in μB per cell: 0.008
N(E_F) in states/eV/atom: 0.701

---

# 10
## ZrCuTeN2 (GGA-PBE)

Data for a relaxed structure of ZrCuTeN2.

Geometry as CIF:
```
data_ZrCuTeN2
_chemical_formula_sum 'Zr1 Cu1 Te1 N2'
_cell_length_a 4.026
_cell_length_b 4.026
_cell_length_c 4.852
_cell_angle_alpha 90.00
_cell_angle_beta 90.00
_cell_angle_gamma 90.00
_symmetry_space_group_name_H-M 'P 1'
_symmetry_Int_Tables_number 1
_symmetry_space_group_name_Hall 'P 1'
loop_
_atom_site_label
_atom_site_type_symbol
_atom_site_fract_x
_atom_site_fract_y
_atom_site_fract_z
Te1 Te 0.000 0.000 0.500
Cu1 Cu 0.000 0.000 0.000
N1 N 0.500 0.000 0.000
N2 N 0.000 0.500 0.000
Zr1 Zr 0.500 0.500 0.500
```

## Properties
Electronic total energy in eV/atom: -5.354
Total magnetic moment in μB per cell: 0.000
E above lowest polymorph in kJ/mol of formula units: 281
ΔE_f (raw) in eV per atom: 1.13
N(E_F) in states/eV/atom: 0.659

---

# 11
## LaPrAg4 (GGA-PBE)

Data for a relaxed structure of LaPrAg4.

Geometry as CIF:
```
data_LaPrAg4
_chemical_formula_sum 'La1 Pr1 Ag4'
_cell_length_a 5.837
_cell_length_b 5.837
_cell_length_c 5.837
_cell_angle_alpha 60.00
_cell_angle_beta 60.00
_cell_angle_gamma 60.00
_symmetry_space_group_name_H-M 'P 1'
_symmetry_Int_Tables_number 1
_symmetry_space_group_name_Hall 'P 1'
loop_
_atom_site_label
_atom_site_type_symbol
_atom_site_fract_x
_atom_site_fract_y
_atom_site_fract_z
Ag1 Ag 0.625 0.625 0.625
Ag2 Ag 0.125 0.625 0.625
Ag3 Ag 0.625 0.125 0.625
Ag4 Ag 0.625 0.625 0.125
Pr1 Pr 0.250 0.250 0.250
La1 La 0.000 0.000 0.000
```

## Properties
Electronic total energy in eV/atom: -3.675
Total magnetic moment in μB per cell: 0.000
E above lowest polymorph in kJ/mol of formula units: 71
E_form in meV per atom: -156.8
N(E_F) in states/eV/atom: 0.954

---

# 12
## ZrCoSn (GGA-PBE)

Data for a relaxed structure of ZrCoSn.

Geometry as CIF:
```
data_ZrCoSn
_chemical_formula_sum 'Zr4 Co4 Sn4'
_cell_length_a 6.971
_cell_length_b 4.090
_cell_length_c 8.568
_cell_angle_alpha 90.00
_cell_angle_beta 114.90
_cell_angle_gamma 90.00
_symmetry_space_group_name_H-M 'P 1'
_symmetry_Int_Tables_number 1
_symmetry_space_group_name_Hall 'P 1'
loop_
_atom_site_label
_atom_site_type_symbol
_atom_site_fract_x
_atom_site_fract_y
_atom_site_fract_z
Zr1 Zr 0.023 0.000 0.626
Zr2 Zr 0.488 0.500 0.902
Zr3 Zr 0.023 0.500 0.126
Zr4 Zr 0.488 0.000 0.402
Co1 Co 0.049 0.000 0.341
Co2 Co 0.686 0.000 0.101
Co3 Co 0.686 0.500 0.601
Co4 Co 0.049 0.500 0.841
Sn1 Sn 0.275 0.000 0.023
Sn2 Sn 0.275 0.500 0.523
Sn3 Sn 0.756 0.000 0.819
Sn4 Sn 0.756 0.500 0.319
```

## Properties
Electronic total energy in eV/atom: -6.943
Total magnetic moment in μB per cell: 0.000
E_form in meV per atom: -390.5
N(E_F) in states/eV/atom: 0.684